1.
## Sm2Er2Bi5 (GGA-PBE)

Data for a relaxed structure of Sm2Er2Bi5.

Summary:
- E (eV per cell) = -87.52
- space group = Cmce

POSCAR file:
```
Sm2Er2Bi5
1.0
8.0564 -4.1295 0.0000
8.0564 4.1295 0.0000
0.0000 0.0000 8.4757
Sm Er Bi
4 4 10
Direct
0.1929 0.1929 0.0000
0.3071 0.3071 0.5000
0.6929 0.6929 0.5000
0.8071 0.8071 0.0000
0.1535 0.8465 0.6580
0.3465 0.6535 0.1580
0.6535 0.3465 0.8420
0.8465 0.1535 0.3420
0.0000 0.0000 0.0000
0.0133 0.7109 0.3492
0.2109 0.5133 0.8492
0.2891 0.9867 0.3492
0.4867 0.7891 0.8492
0.5000 0.5000 0.5000
0.5133 0.2109 0.1508
0.7109 0.0133 0.6508
0.7891 0.4867 0.1508
0.9867 0.2891 0.6508
```

2.
## SmErBi (GGA-PBE)

Data for a relaxed structure of SmErBi.

Summary:
- E (eV per cell) = -29.11
- space group = I4mm

POSCAR file:
```
SmErBi
1.0
4.0751 0.0000 0.0000
0.0000 4.0751 0.0000
0.0000 0.0000 10.8663
Sm Er Bi
2 2 2
Direct
0.0000 0.0000 0.0000
0.5000 0.5000 0.5000
0.0000 0.0000 0.3127
0.5000 0.5000 0.8127
0.0000 0.0000 0.6633
0.5000 0.5000 0.1633
```